# PmDyScAl PBE relaxed
data_PmDyScAl
_space_group_name_H-M_alt 'P 1'
_space_group_IT_number 1
_cell_length_a 5.282
_cell_length_b 5.282
_cell_length_c 5.282
_cell_angle_alpha 60.00
_cell_angle_beta 60.00
_cell_angle_gamma 60.00
loop_
_space_group_symop_operation_xyz
'x,y,z'
loop_
_atom_site_label
_atom_site_type_symbol
_atom_site_fract_x
_atom_site_fract_y
_atom_site_fract_z
Pm1 Pm 0.000 0.000 0.000
Dy1 Dy 0.500 0.500 0.500
Sc1 Sc 0.750 0.750 0.750
Al1 Al 0.250 0.250 0.250
# Uncorrected energy   -4.96 eV per atom

***

# Pm4Nd5Y4 PBE relaxed
data_Pm4Nd5Y4
_space_group_name_H-M_alt 'P 1'
_space_group_IT_number 1
_cell_length_a 9.640
_cell_length_b 9.640
_cell_length_c 9.640
_cell_angle_alpha 94.06
_cell_angle_beta 94.06
_cell_angle_gamma 149.13
loop_
_space_group_symop_operation_xyz
'x,y,z'
loop_
_atom_site_label
_atom_site_type_symbol
_atom_site_fract_x
_atom_site_fract_y
_atom_site_fract_z
Pm1 Pm 0.076 0.384 0.461
Pm2 Pm 0.384 0.924 0.308
Pm3 Pm 0.616 0.076 0.692
Pm4 Pm 0.924 0.616 0.539
Nd1 Nd 0.000 0.000 0.000
Nd2 Nd 0.308 0.539 0.847
Nd3 Nd 0.461 0.308 0.768
Nd4 Nd 0.539 0.692 0.232
Nd5 Nd 0.692 0.461 0.153
Y1 Y 0.154 0.768 0.923
Y2 Y 0.232 0.154 0.386
Y3 Y 0.768 0.846 0.614
Y4 Y 0.846 0.232 0.077
# Uncorrected energy   -5.27 eV per atom

***

# PaTi12Bi6 PBE relaxed
data_PaTi12Bi6
_space_group_name_H-M_alt 'P 1'
_space_group_IT_number 1
_cell_length_a 7.991
_cell_length_b 7.991
_cell_length_c 7.991
_cell_angle_alpha 108.81
_cell_angle_beta 108.81
_cell_angle_gamma 108.81
loop_
_space_group_symop_operation_xyz
'x,y,z'
loop_
_atom_site_label
_atom_site_type_symbol
_atom_site_fract_x
_atom_site_fract_y
_atom_site_fract_z
Pa1 Pa 0.000 0.000 0.000
Ti1 Ti 0.024 0.697 0.133
Ti2 Ti 0.133 0.024 0.697
Ti3 Ti 0.140 0.402 0.283
Ti4 Ti 0.283 0.140 0.402
Ti5 Ti 0.303 0.867 0.976
Ti6 Ti 0.402 0.283 0.140
Ti7 Ti 0.598 0.717 0.860
Ti8 Ti 0.697 0.133 0.024
Ti9 Ti 0.717 0.860 0.598
Ti10 Ti 0.860 0.598 0.717
Ti11 Ti 0.867 0.976 0.303
Ti12 Ti 0.976 0.303 0.867
Bi1 Bi 0.163 0.411 0.648
Bi2 Bi 0.352 0.837 0.589
Bi3 Bi 0.411 0.648 0.163
Bi4 Bi 0.589 0.352 0.837
Bi5 Bi 0.648 0.163 0.411
Bi6 Bi 0.837 0.589 0.352
# Uncorrected energy   -6.68 eV per atom

***

# AcCd6Ga2 PBE relaxed
data_AcCd6Ga2
_space_group_name_H-M_alt 'P 1'
_space_group_IT_number 1
_cell_length_a 4.553
_cell_length_b 4.553
_cell_length_c 10.041
_cell_angle_alpha 90.00
_cell_angle_beta 90.00
_cell_angle_gamma 90.00
loop_
_space_group_symop_operation_xyz
'x,y,z'
loop_
_atom_site_label
_atom_site_type_symbol
_atom_site_fract_x
_atom_site_fract_y
_atom_site_fract_z
Ac1 Ac 0.000 0.000 0.000
Cd1 Cd 0.000 0.000 0.500
Cd2 Cd 0.000 0.500 0.287
Cd3 Cd 0.000 0.500 0.713
Cd4 Cd 0.500 0.000 0.287
Cd5 Cd 0.500 0.000 0.713
Cd6 Cd 0.500 0.500 0.500
Ga1 Ga 0.500 0.500 0.126
Ga2 Ga 0.500 0.500 0.874
# Uncorrected energy   -1.96 eV per atom

***

# Be3Pb5 PBE relaxed
data_Be3Pb5
_space_group_name_H-M_alt 'P 1'
_space_group_IT_number 1
_cell_length_a 7.363
_cell_length_b 7.363
_cell_length_c 3.895
_cell_angle_alpha 90.00
_cell_angle_beta 90.00
_cell_angle_gamma 97.30
loop_
_space_group_symop_operation_xyz
'x,y,z'
loop_
_atom_site_label
_atom_site_type_symbol
_atom_site_fract_x
_atom_site_fract_y
_atom_site_fract_z
Be1 Be 0.000 0.000 0.000
Be2 Be 0.102 0.898 0.500
Be3 Be 0.898 0.102 0.500
Pb1 Pb 0.000 0.500 0.000
Pb2 Pb 0.237 0.237 0.500
Pb3 Pb 0.500 0.000 0.000
Pb4 Pb 0.500 0.500 0.000
Pb5 Pb 0.763 0.763 0.500
# Uncorrected energy   -3.17 eV per atom
# Polymorph energy (0 for the lowest one)   0 meV/atom

***

# Cs2ZnCd3F12 PBE relaxed
data_Cs2ZnCd3F12
_space_group_name_H-M_alt 'P 1'
_space_group_IT_number 1
_cell_length_a 7.831
_cell_length_b 7.831
_cell_length_c 7.831
_cell_angle_alpha 60.76
_cell_angle_beta 60.76
_cell_angle_gamma 60.76
loop_
_space_group_symop_operation_xyz
'x,y,z'
loop_
_atom_site_label
_atom_site_type_symbol
_atom_site_fract_x
_atom_site_fract_y
_atom_site_fract_z
Cs1 Cs 0.135 0.135 0.135
Cs2 Cs 0.865 0.865 0.865
Zn1 Zn 0.500 0.500 0.500
Cd1 Cd 0.000 0.500 0.500
Cd2 Cd 0.500 0.000 0.500
Cd3 Cd 0.500 0.500 0.000
F1 F 0.164 0.164 0.564
F2 F 0.164 0.564 0.164
F3 F 0.202 0.564 0.564
F4 F 0.436 0.436 0.798
F5 F 0.436 0.798 0.436
F6 F 0.436 0.836 0.836
F7 F 0.564 0.164 0.164
F8 F 0.564 0.202 0.564
F9 F 0.564 0.564 0.202
F10 F 0.798 0.436 0.436
F11 F 0.836 0.436 0.836
F12 F 0.836 0.836 0.436
# Uncorrected energy   -3.70 eV per atom

***

# ErHf3Sb2 PBE relaxed
data_ErHf3Sb2
_space_group_name_H-M_alt 'P 1'
_space_group_IT_number 1
_cell_length_a 8.947
_cell_length_b 8.947
_cell_length_c 8.989
_cell_angle_alpha 112.84
_cell_angle_beta 112.84
_cell_angle_gamma 25.76
loop_
_space_group_symop_operation_xyz
'x,y,z'
loop_
_atom_site_label
_atom_site_type_symbol
_atom_site_fract_x
_atom_site_fract_y
_atom_site_fract_z
Er1 Er 0.114 0.114 0.123
Er2 Er 0.886 0.886 0.877
Hf1 Hf 0.059 0.059 0.662
Hf2 Hf 0.312 0.312 0.104
Hf3 Hf 0.370 0.370 0.522
Hf4 Hf 0.630 0.630 0.478
Hf5 Hf 0.688 0.688 0.896
Hf6 Hf 0.941 0.941 0.338
Sb1 Sb 0.246 0.246 0.711
Sb2 Sb 0.487 0.487 0.160
Sb3 Sb 0.513 0.513 0.840
Sb4 Sb 0.754 0.754 0.289
# Uncorrected energy   -7.54 eV per atom

***

# SrY2Si PBE relaxed
data_SrY2Si
_space_group_name_H-M_alt 'P 1'
_space_group_IT_number 1
_cell_length_a 4.102
_cell_length_b 4.352
_cell_length_c 7.001
_cell_angle_alpha 90.00
_cell_angle_beta 100.69
_cell_angle_gamma 90.00
loop_
_space_group_symop_operation_xyz
'x,y,z'
loop_
_atom_site_label
_atom_site_type_symbol
_atom_site_fract_x
_atom_site_fract_y
_atom_site_fract_z
Sr1 Sr 0.000 0.000 0.000
Y1 Y 0.391 0.500 0.702
Y2 Y 0.609 0.500 0.298
Si1 Si 0.000 0.000 0.500
# Uncorrected energy   -5.08 eV per atom